(1)
This record from Alexandria describes a relaxed AlCd2Cl crystal. The functional is PBE.

Computed properties:
Crystal system: orthorhombic
Energy above the lowest structure with this stoichiometry in eV per formula unit: 0.42
Formation energy from raw total energies in meV/atom: -124
Fermi-level density of states in states/eV per atom: 0.211
Energy in eV/atom: -1.98

Cell lengths 4.3749, 5.1777, 7.8492 Å; angles 90.00, 90.00, 90.00 degrees
Space group Cmmm (No. 65)
Symmetry-distinct sites (fractional):
Al 0.0000 0.0000 0.0000
Cd 0.0000 0.5000 0.2343
Cl 0.0000 0.0000 0.5000



(2)
This record from Alexandria describes a relaxed AlCd2Cl crystal. The functional is PBE.

Computed properties:
Crystal system: monoclinic
Energy above the lowest structure with this stoichiometry in eV per formula unit: 0.62
Formation energy from raw total energies in meV/atom: -75
Fermi-level density of states in states/eV per atom: 0.222
Energy in eV/atom: -1.93

Cell lengths 3.1607, 5.8917, 4.9529 Å; angles 90.00, 91.28, 90.00 degrees
Space group P2/m (No. 10)
Symmetry-distinct sites (fractional):
Al 0.0000 0.0000 0.0000
Cd 0.2467 0.5000 0.2505
Cl 0.5000 0.0000 0.5000



(3)
This record from Alexandria describes a relaxed Al2CdCl8 crystal. The functional is PBE.

Computed properties:
Crystal system: monoclinic
Energy above the lowest structure with this stoichiometry in eV per formula unit: 0.00
Formation energy from raw total energies in meV/atom: -1413
Fermi-level density of states in states/eV per atom: 0.000
Energy in eV/atom: -3.52

Cell lengths 17.7881, 8.7181, 11.8072 Å; angles 90.00, 128.03, 90.00 degrees
Space group C2/c (No. 15)
Symmetry-distinct sites (fractional):
Al 0.0877 0.2454 0.0375
Cd 0.0000 0.0010 0.7500
Cl 0.0594 0.2209 0.6583
Cl 0.0920 0.2233 0.2265
Cl 0.1526 0.4531 0.0514
Cl 0.1554 0.0447 0.0214



(4)
This record from Alexandria describes a relaxed AlCd2Cl6 crystal. The functional is PBE.

Computed properties:
Crystal system: tetragonal
Formation energy from raw total energies in meV/atom: -1044
Fermi-level density of states in states/eV per atom: 0.327
Energy in eV/atom: -2.89

Cell lengths 6.4082, 6.4082, 11.2519 Å; angles 90.00, 90.00, 90.00 degrees
Space group P4_2/mnm (No. 136)
Symmetry-distinct sites (fractional):
Al 0.0000 0.0000 0.0000
Cd 0.0000 0.0000 0.3445
Cl 0.1831 0.1831 0.1514
Cl 0.2395 0.2395 0.5000



(5)
This record from Alexandria describes a relaxed AlCd3Cl crystal. The functional is PBE.

Computed properties:
Crystal system: cubic
Energy above the lowest structure with this stoichiometry in eV per formula unit: 0.00
Formation energy from raw total energies in meV/atom: -30
Fermi-level density of states in states/eV per atom: 0.102
Energy in eV/atom: -1.70

Cell lengths 5.2550, 5.2550, 5.2550 Å; angles 90.00, 90.00, 90.00 degrees
Space group Pm-3m (No. 221)
Symmetry-distinct sites (fractional):
Al 0.0000 0.0000 0.0000
Cd 0.0000 0.0000 0.5000
Cl 0.5000 0.5000 0.5000



(6)
This record from Alexandria describes a relaxed AlCd2Cl crystal. The functional is PBE.

Computed properties:
Crystal system: orthorhombic
Energy above the lowest structure with this stoichiometry in eV per formula unit: 0.38
Formation energy from raw total energies in meV/atom: -136
Fermi-level density of states in states/eV per atom: 0.345
Energy in eV/atom: -1.99

Cell lengths 3.0909, 5.7091, 10.5819 Å; angles 90.00, 90.00, 90.00 degrees
Space group Imm2 (No. 44)
Symmetry-distinct sites (fractional):
Al 0.0000 0.0000 0.0000
Cd 0.0000 0.0000 0.5000
Cd 0.0000 0.5000 0.2652
Cl 0.0000 0.5000 0.6811



(7)
This record from Alexandria describes a relaxed AlCdCl4 crystal. The functional is PBE.

Computed properties:
Crystal system: cubic
Formation energy from raw total energies in meV/atom: 330
Fermi-level density of states in states/eV per atom: 0.544
Energy in eV/atom: -1.68

Cell lengths 8.5677, 8.5677, 8.5677 Å; angles 90.00, 90.00, 90.00 degrees
Space group F-43m (No. 216)
Symmetry-distinct sites (fractional):
Al 0.0000 0.0000 0.0000
Cd 0.2500 0.2500 0.7500
Cl 0.1251 0.1251 0.3749



(8)
This record from Alexandria describes a relaxed Al2CdCl crystal. The functional is PBE.

Computed properties:
Crystal system: trigonal
Energy above the lowest structure with this stoichiometry in eV per formula unit: 0.68
Formation energy from raw total energies in meV/atom: -15
Fermi-level density of states in states/eV per atom: 0.264
Energy in eV/atom: -2.58

Cell lengths 3.1743, 3.1743, 27.4675 Å; angles 90.00, 90.00, 120.00 degrees
Space group R-3m (No. 166, hexagonal axes)
Symmetry-distinct sites (fractional):
Al 0.0000 0.0000 0.2444
Cd 0.0000 0.0000 0.0000
Cl 0.0000 0.0000 0.5000



Copy entry 2 word for word.
This record from Alexandria describes a relaxed AlCd2Cl crystal. The functional is PBE.

Computed properties:
Crystal system: monoclinic
Energy above the lowest structure with this stoichiometry in eV per formula unit: 0.62
Formation energy from raw total energies in meV/atom: -75
Fermi-level density of states in states/eV per atom: 0.222
Energy in eV/atom: -1.93

Cell lengths 3.1607, 5.8917, 4.9529 Å; angles 90.00, 91.28, 90.00 degrees
Space group P2/m (No. 10)
Symmetry-distinct sites (fractional):
Al 0.0000 0.0000 0.0000
Cd 0.2467 0.5000 0.2505
Cl 0.5000 0.0000 0.5000



formation energy from raw total energies of number 7 (AlCdCl4)?
330 meV/atom